[1]
{
  "formula": "PmMgInGe",
  "functional": "PBE-GGA",
  "state": "relaxed",
  "lattice_angstrom": [[-3.611, 3.349, -1.539], [-4.708, -1.686, -1.271], [-4.025, 1.040, 3.057]],
  "species": ["Ge", "In", "Mg", "Pm"],
  "frac_coords": [[0.250, 0.250, 0.250], [0.750, 0.750, 0.750], [0.500, 0.500, 0.500], [0.000, 0.000, 0.000]],
  "formation_enthalpy_0k_ev_per_fu": -1.12,
  "magnetic_moment_mub_per_fu": 0.00,
  "volume_a3_per_atom": 24.3,
  "density_g_cm3": 6.10,
  "e_tot_ev_per_cell": -14.824,
  "space_group": "F-43m",
  "relative_energy_ev_per_atom": 0.176
}

[2]
{
  "formula": "GaPdPb2",
  "functional": "PBE-GGA",
  "state": "relaxed",
  "lattice_angstrom": [[4.532, 0.000, 0.000], [0.000, 4.532, 0.000], [2.266, 2.266, 9.838]],
  "species": ["Pb", "Pb", "Pb", "Pb", "Ga", "Ga", "Pd", "Pd"],
  "frac_coords": [[0.634, 0.125, 0.250], [0.116, 0.625, 0.250], [0.375, 0.366, 0.750], [0.875, 0.884, 0.750], [0.500, 0.500, 0.000], [0.250, 0.750, 0.500], [0.000, 0.000, 0.000], [0.750, 0.250, 0.500]],
  "formation_enthalpy_0k_ev_per_fu": 0.51,
  "magnetic_moment_mub_per_fu": 0.00,
  "volume_a3_per_atom": 25.3,
  "density_g_cm3": 9.71,
  "e_tot_ev_per_cell": -30.254,
  "space_group": "I-42d"
}

[3]
{
  "formula": "KPtW2",
  "functional": "PBE-GGA",
  "state": "relaxed",
  "lattice_angstrom": [[11.058, 0.006, 0.003], [10.694, 2.814, 0.003], [10.694, 1.387, 2.449]],
  "species": ["K", "Pt", "W", "W"],
  "frac_coords": [[0.250, 0.250, 0.250], [0.750, 0.750, 0.750], [0.014, 0.014, 0.014], [0.486, 0.486, 0.486]],
  "formation_enthalpy_0k_ev_per_fu": 3.16,
  "magnetic_moment_mub_per_fu": 0.00,
  "volume_a3_per_atom": 19.0,
  "density_g_cm3": 13.16,
  "e_tot_ev_per_cell": -29.884,
  "space_group": "R-3m",
  "relative_energy_ev_per_atom": 0.277
}

[4]
{
  "formula": "Cs8Pd3O8",
  "functional": "PBE-GGA",
  "state": "relaxed",
  "lattice_angstrom": [[-2.773, 5.371, 1.116], [-4.193, -0.574, -7.653], [-4.823, -7.448, 6.931]],
  "species": ["Cs", "Cs", "Cs", "Cs", "Cs", "Cs", "Cs", "Cs", "Pd", "Pd", "Pd", "O", "O", "O", "O", "O", "O", "O", "O"],
  "frac_coords": [[0.022, 0.253, 0.044], [0.978, 0.747, 0.956], [0.330, 0.534, 0.660], [0.670, 0.466, 0.340], [0.391, 0.057, 0.783], [0.609, 0.943, 0.217], [0.203, 0.793, 0.405], [0.797, 0.207, 0.595], [0.500, 0.500, 0.000], [0.181, 0.192, 0.361], [0.819, 0.808, 0.639], [0.112, 0.990, 0.223], [0.888, 0.010, 0.777], [0.184, 0.413, 0.367], [0.816, 0.587, 0.633], [0.265, 0.168, 0.531], [0.735, 0.832, 0.469], [0.481, 0.698, 0.963], [0.519, 0.302, 0.037]],
  "magnetic_moment_mub_per_fu": 3.47,
  "volume_a3_per_atom": 29.2,
  "density_g_cm3": 4.52,
  "e_tot_ev_per_cell": -79.598,
  "space_group": "C2/m",
  "raw_formation_energy_mev_per_atom": -922
}

[5]
{
  "formula": "CsCeGaBr6",
  "functional": "PBE-GGA",
  "state": "relaxed",
  "lattice_angstrom": [[-1.441, 4.518, -5.943], [-7.249, -2.292, 0.015], [-3.247, 10.330, 8.641]],
  "species": ["Cs", "Cs", "Ce", "Ce", "Ga", "Ga", "Br", "Br", "Br", "Br", "Br", "Br", "Br", "Br", "Br", "Br", "Br", "Br"],
  "frac_coords": [[0.500, 0.500, 0.176], [0.000, 0.000, 0.676], [0.500, 0.500, 0.834], [0.000, 0.000, 0.334], [0.500, 0.500, 0.512], [0.000, 0.000, 0.012], [0.201, 0.799, 0.463], [0.799, 0.201, 0.463], [0.299, 0.299, 0.963], [0.701, 0.701, 0.963], [0.168, 0.832, 0.174], [0.832, 0.168, 0.174], [0.332, 0.332, 0.674], [0.668, 0.668, 0.674], [0.758, 0.242, 0.852], [0.242, 0.758, 0.852], [0.742, 0.742, 0.352], [0.258, 0.258, 0.352]],
  "magnetic_moment_mub_per_fu": 0.00,
  "volume_a3_per_atom": 44.5,
  "density_g_cm3": 3.41,
  "e_tot_ev_per_cell": -65.174,
  "space_group": "P4_2nm",
  "raw_formation_energy_mev_per_atom": -1415
}

[6]
{
  "formula": "PaNbP",
  "functional": "PBE-GGA",
  "state": "relaxed",
  "lattice_angstrom": [[-1.655, -0.257, -3.292], [-0.826, -4.203, 0.743], [-2.876, 3.027, 1.209]],
  "species": ["P", "Nb", "Pa"],
  "frac_coords": [[0.500, 0.667, 0.333], [0.500, 0.333, 0.667], [0.000, 0.000, 0.000]],
  "formation_enthalpy_0k_ev_per_fu": -1.31,
  "magnetic_moment_mub_per_fu": 0.00,
  "volume_a3_per_atom": 20.2,
  "density_g_cm3": 9.75,
  "e_tot_ev_per_cell": -26.287,
  "space_group": "P-6m2"
}

[7]
{
  "formula": "LaRu2Au",
  "functional": "PBE-GGA",
  "state": "relaxed",
  "lattice_angstrom": [[-4.379, -1.983, -2.245], [-0.299, -5.256, 0.653], [0.564, 4.256, 3.117]],
  "species": ["Au", "La", "Ru", "Ru"],
  "frac_coords": [[0.491, 0.491, 0.000], [0.763, 0.263, 0.500], [0.027, 0.027, 0.000], [0.219, 0.719, 0.500]],
  "formation_enthalpy_0k_ev_per_fu": 0.53,
  "magnetic_moment_mub_per_fu": 0.01,
  "volume_a3_per_atom": 19.4,
  "density_g_cm3": 11.52,
  "e_tot_ev_per_cell": -26.227,
  "space_group": "Imm2",
  "relative_energy_ev_per_atom": 0.048
}

[8]
{
  "formula": "La2SnP",
  "functional": "PBE-GGA",
  "state": "relaxed",
  "lattice_angstrom": [[4.221, 0.000, 0.000], [2.111, 3.656, 0.000], [2.111, 1.219, 8.036]],
  "species": ["P", "Sn", "La", "La"],
  "frac_coords": [[0.000, 0.000, 0.000], [0.500, 0.500, 0.500], [0.262, 0.262, 0.213], [0.738, 0.738, 0.787]],
  "formation_enthalpy_0k_ev_per_fu": -4.42,
  "magnetic_moment_mub_per_fu": 0.00,
  "volume_a3_per_atom": 31.0,
  "density_g_cm3": 5.73,
  "e_tot_ev_per_cell": -23.686,
  "space_group": "R-3m",
  "relative_energy_ev_per_atom": 0.065
}

[9]
{
  "formula": "GdSiO2",
  "functional": "PBE-GGA",
  "state": "relaxed",
  "lattice_angstrom": [[2.924, 0.000, 0.000], [1.462, 2.532, 0.000], [1.462, 0.844, 7.196]],
  "species": ["Si", "Gd", "O", "O"],
  "frac_coords": [[0.500, 0.500, 0.500], [0.000, 0.000, 0.000], [0.126, 0.126, 0.622], [0.874, 0.874, 0.378]],
  "magnetic_moment_mub_per_fu": 7.07,
  "volume_a3_per_atom": 13.3,
  "density_g_cm3": 6.77,
  "e_tot_ev_per_cell": -34.653,
  "space_group": "R-3m",
  "raw_formation_energy_mev_per_atom": -1308
}

[10]
{
  "formula": "YZn2Ni",
  "functional": "PBE-GGA",
  "state": "relaxed",
  "lattice_angstrom": [[4.228, 0.000, 0.000], [0.000, 4.228, 0.000], [2.114, 2.114, 8.887]],
  "species": ["Y", "Y", "Ni", "Ni", "Zn", "Zn", "Zn", "Zn"],
  "frac_coords": [[0.000, 0.000, 0.000], [0.750, 0.250, 0.500], [0.500, 0.500, 0.000], [0.250, 0.750, 0.500], [0.499, 0.125, 0.250], [0.251, 0.625, 0.250], [0.375, 0.501, 0.750], [0.875, 0.749, 0.750]],
  "formation_enthalpy_0k_ev_per_fu": -0.13,
  "magnetic_moment_mub_per_fu": 0.00,
  "volume_a3_per_atom": 19.9,
  "density_g_cm3": 5.82,
  "e_tot_ev_per_cell": -29.838,
  "space_group": "I-42d"
}